(1)
A plane-wave DFT calculation with PBE-GGA was carried out for a relaxed structure of GeBi2Cl.

Cell: 7.379 7.379 7.379 Å, 90.00 90.00 90.00°
Space group Fm-3m (No. 225)
One atom of each set of equivalent atoms:
Ge: 0.000 0.000 0.000 x4
Bi: 0.250 0.250 0.250 x8
Cl: 0.000 0.000 0.500 x4

Calculated values
As for the offset from the most stable computed form: 0.000 eV/atom. The value obtained for the uncorrected formation energy is -0.04 eV/f.u.


(2)
A plane-wave DFT calculation with PBE-GGA was carried out for a relaxed structure of GeBi2Cl8.

Cell: 19.056 3.800 9.768 Å, 90.00 91.26 90.00°
Space group C2/m (No. 12)
One atom of each set of equivalent atoms:
Ge: 0.000 0.000 0.000 x2
Bi: 0.154 0.500 0.271 x4
Cl: 0.002 0.500 0.193 x4
Cl: 0.099 0.000 0.440 x4
Cl: 0.141 0.000 0.047 x4
Cl: 0.240 0.500 0.694 x4

Calculated values
As for the offset from the most stable computed form: 0.000 eV/atom. The value obtained for the uncorrected formation energy is -9.71 eV/f.u.


Repeat the first record exactly.
A plane-wave DFT calculation with PBE-GGA was carried out for a relaxed structure of GeBi2Cl.

Cell: 7.379 7.379 7.379 Å, 90.00 90.00 90.00°
Space group Fm-3m (No. 225)
One atom of each set of equivalent atoms:
Ge: 0.000 0.000 0.000 x4
Bi: 0.250 0.250 0.250 x8
Cl: 0.000 0.000 0.500 x4

Calculated values
As for the offset from the most stable computed form: 0.000 eV/atom. The value obtained for the uncorrected formation energy is -0.04 eV/f.u.


Please write out number 2 again, unchanged.
A plane-wave DFT calculation with PBE-GGA was carried out for a relaxed structure of GeBi2Cl8.

Cell: 19.056 3.800 9.768 Å, 90.00 91.26 90.00°
Space group C2/m (No. 12)
One atom of each set of equivalent atoms:
Ge: 0.000 0.000 0.000 x2
Bi: 0.154 0.500 0.271 x4
Cl: 0.002 0.500 0.193 x4
Cl: 0.099 0.000 0.440 x4
Cl: 0.141 0.000 0.047 x4
Cl: 0.240 0.500 0.694 x4

Calculated values
As for the offset from the most stable computed form: 0.000 eV/atom. The value obtained for the uncorrected formation energy is -9.71 eV/f.u.